No. 1
Entry from Alexandria via LeMat-Bulk: a geometry-optimized RbBaTbI6 structure (PBE).

Structure (POSCAR):
```
RbBaTbI6
1.0
8.552 0.000 0.000
-4.276 7.406 0.000
0.000 0.000 15.510
Rb Ba Tb I
2 2 2 12
Cartesian
0.000 0.000 0.000
0.000 0.000 7.755
0.000 4.937 3.878
4.276 2.469 11.633
4.276 2.469 3.878
0.000 4.937 11.633
2.946 4.565 2.081
6.756 2.572 2.081
-1.151 7.137 9.836
-2.481 4.834 13.429
1.795 2.572 5.674
5.606 4.565 5.674
1.151 7.137 13.429
5.427 0.269 5.674
-1.330 2.841 9.836
3.125 0.269 2.081
2.481 4.834 9.836
1.330 2.841 13.429
```

Output
space group: P-31c, No. 163
DFT total energy: -3.4204 eV/atom

---

No. 2
Entry from Alexandria via LeMat-Bulk: a geometry-optimized Rb2BaTcI6 structure (PBE).

Structure (POSCAR):
```
Rb2BaTcI6
1.0
-5.392 -3.993 -5.434
-4.437 -3.137 6.708
-8.505 1.372 0.572
I Ba Rb Tc
6 1 2 1
Cartesian
-6.537 -1.333 0.608
-11.796 -4.424 1.239
-2.693 -1.953 0.349
-7.136 -5.176 0.926
-5.130 -3.758 -2.107
-4.699 -3.372 3.382
0.000 0.000 0.000
-9.405 -3.093 -2.112
-8.928 -2.665 3.959
-4.915 -3.565 0.637
```

Output
space group: Fm-3m, No. 225
DFT total energy: -3.2812 eV/atom

---

No. 3
Entry from Alexandria via LeMat-Bulk: a geometry-optimized RbBaTeI structure (PBE).

Structure (POSCAR):
```
RbBaTeI
1.0
-0.969 -4.434 2.039
4.403 0.835 -2.162
2.535 5.607 7.328
Rb Ba Te I
1 1 1 1
Cartesian
4.348 0.800 -1.120
1.789 1.573 5.420
4.259 3.923 5.632
1.720 -1.884 3.939
```

Output
space group: R3m, No. 160
DFT total energy: -3.4154 eV/atom

---

No. 4
Entry from Alexandria via LeMat-Bulk: a geometry-optimized RbBaTeI2 structure (PBE).

Structure (POSCAR):
```
RbBaTeI2
1.0
-5.512 3.343 -0.290
-1.114 -2.348 -5.906
-3.113 -4.913 2.540
I Te Ba Rb
2 1 1 1
Cartesian
-0.557 -1.174 -2.953
-2.756 1.671 -0.145
-1.557 -2.456 1.270
-4.869 -1.959 -1.828
0.000 0.000 0.000
```

Output
space group: P4/mmm, No. 123
energy above the lowest structure with this stoichiometry: 0.406 eV per atom

---

No. 5
Entry from Alexandria via LeMat-Bulk: a geometry-optimized RbBaTe2I structure (PBE).

Structure (POSCAR):
```
RbBaTe2I
1.0
6.155 0.000 0.000
0.000 6.155 0.000
0.000 0.000 6.534
I Te Ba Rb
1 2 1 1
Cartesian
0.000 0.000 3.267
0.000 3.077 0.000
3.077 0.000 0.000
3.077 3.077 3.267
0.000 0.000 0.000
```

Output
space group: P4/mmm, No. 123
energy above the lowest structure with this stoichiometry: 0.346 eV per atom

---

No. 6
Entry from Alexandria via LeMat-Bulk: a geometry-optimized RbBaTe2I structure (PBE).

Structure (POSCAR):
```
RbBaTe2I
1.0
-6.203 -2.448 0.454
2.373 -6.182 -0.909
0.764 -0.693 6.707
I Te Ba Rb
1 2 1 1
Cartesian
0.382 -0.346 3.353
1.187 -3.091 -0.454
-3.102 -1.224 0.227
0.000 0.000 0.000
-1.533 -4.661 3.126
```

Output
space group: P4/mmm, No. 123
energy above the lowest structure with this stoichiometry: 0.000 eV per atom

---

So what do the calculations give for mass density? Going down the list: 3.865; 4.261; 4.049; 3.797; 4.058; 3.313 g/cm3.
So what do the calculations give for total magnetization? Going down the list: 0.00; 1.00; 0.00; 0.57; 0.00; 1.84 μB/cell.